## ReSn2Cl (PBE-GGA)

Data for a relaxed ReSn2Cl crystal.

Values from the calculation:
E in eV per atom: -4.92
Calculated density in g/cm³: 5.91
Total magnetic moment in μB per formula unit: 0.0
Uncorrected formation energy in eV/f.u.: 2.6

Unit cell a=6.3839 b=6.3839 c=12.6599 alpha=90.00 beta=90.00 gamma=90.00
Space group I-42d (No. 122)
One atom of each set of equivalent atoms:
Re 0.0000 0.0000 0.0000 x4
Sn 0.1937 0.2500 0.1250 x8
Cl 0.0000 0.0000 0.5000 x4